Record 1
DFT (meta-GGA SCAN) results for a PBEsol-optimized structure of CaSb2Rh.

The value obtained for the volume is 23.8 Å³/atom.

It has space group I-42d (No. 122), with a = 8.049 Å, b = 8.049 Å, c = 5.874 Å, α = 90.00°, β = 90.00° and γ = 90.00°. The distinct sites, in fractional coordinates, are Ca at (0.000, 0.000, 0.000), Sb at (0.184, 0.750, 0.625) and Rh at (0.000, 0.000, 0.500).

***

Record 2
DFT (meta-GGA SCAN) results for a PBEsol-optimized structure of CaSb2Rh.

The value obtained for the volume is 23.9 Å³/atom.

It has space group R3m (No. 160, hexagonal axes), with a = 4.2384 Å, b = 4.2384 Å, c = 18.4417 Å, α = 90.00°, β = 90.00° and γ = 120.00°. The distinct sites, in fractional coordinates, are Ca at (0.0000, 0.0000, 0.0000), Sb at (0.0000, 0.0000, 0.5642), Sb at (0.0000, 0.0000, 0.7805) and Rh at (0.0000, 0.0000, 0.1771).

***

Taking the records one at a time from the top gives raw formation energy values of -570, -727 meV per atom.
Taking the records one at a time from the top gives density values of 6.74, 6.71 g/cm3.
Taking the records one at a time from the top gives N(E_F) values of 0.704, 0.354 states/eV per atom.